No. 1
A relaxed structure of CrCuRu2. Source: Alexandria, functional PBE-GGA.

Results
* formation energy from the elements: 0.585 eV/atom
* DOS(E_F): 4.99 states/eV/f.u.
* total magnetic moment: 0.00 μB/f.u.
* DFT total energy: -7.483 eV per atom
* crystal system: tetragonal

The structure in CIF format:
```
data_CrCuRu2
_chemical_formula_sum 'Cr4 Cu4 Ru8'
_symmetry_space_group_name_H-M 'I -4 2 d'
_symmetry_Int_Tables_number 122
_symmetry_space_group_name_Hall 'I -4 2bw'
_cell_length_a 6.710
_cell_length_b 6.710
_cell_length_c 5.172
_cell_angle_alpha 90.00
_cell_angle_beta 90.00
_cell_angle_gamma 90.00
loop_
_atom_site_label
_atom_site_type_symbol
_atom_site_fract_x
_atom_site_fract_y
_atom_site_fract_z
Cr1 Cr 0.000 0.000 0.000
Cu1 Cu 0.000 0.000 0.500
Ru1 Ru 0.204 0.250 0.125
```

No. 2
A relaxed structure of PaTc2Ni. Source: Alexandria, functional PBE-GGA.

Results
* energy above the lowest structure with this stoichiometry: 9.5 kJ per mole of atoms
* formation energy from the elements: -0.063 eV/atom
* DOS(E_F): 5.63 states/eV/f.u.
* total magnetic moment: 0.00 μB/f.u.
* DFT total energy: -9.065 eV per atom
* crystal system: trigonal

The structure in CIF format:
```
data_PaTc2Ni
_chemical_formula_sum 'Pa3 Tc6 Ni3'
_symmetry_space_group_name_H-M 'R -3 m'
_symmetry_Int_Tables_number 166
_symmetry_space_group_name_Hall '-R 3 2"'
_cell_length_a 4.4849
_cell_length_b 4.4849
_cell_length_c 12.3609
_cell_angle_alpha 90.00
_cell_angle_beta 90.00
_cell_angle_gamma 120.00
loop_
_atom_site_label
_atom_site_type_symbol
_atom_site_fract_x
_atom_site_fract_y
_atom_site_fract_z
Pa1 Pa 0.0000 0.0000 0.0000
Tc1 Tc 0.0000 0.0000 0.1977
Ni1 Ni 0.0000 0.0000 0.5000
```

No. 3
A relaxed structure of CrNi5Pt. Source: Alexandria, functional PBE-GGA.

Results
* energy above the lowest structure with this stoichiometry: 9.4 kJ per mole of atoms
* formation energy from the elements: 0.224 eV/atom
* DOS(E_F): 11.92 states/eV/f.u.
* total magnetic moment: 5.68 μB/f.u.
* DFT total energy: -6.143 eV per atom
* crystal system: orthorhombic

The structure in CIF format:
```
data_CrNi5Pt
_chemical_formula_sum 'Cr2 Ni10 Pt2'
_symmetry_space_group_name_H-M 'I m m 2'
_symmetry_Int_Tables_number 44
_symmetry_space_group_name_Hall 'I 2 -2'
_cell_length_a 4.582
_cell_length_b 4.677
_cell_length_c 8.361
_cell_angle_alpha 90.00
_cell_angle_beta 90.00
_cell_angle_gamma 90.00
loop_
_atom_site_label
_atom_site_type_symbol
_atom_site_fract_x
_atom_site_fract_y
_atom_site_fract_z
Cr1 Cr 0.000 0.000 0.000
Ni1 Ni 0.000 0.242 0.634
Ni2 Ni 0.000 0.500 0.088
Ni3 Ni 0.246 0.000 0.343
Pt1 Pt 0.000 0.500 0.367
```

No. 4
A relaxed structure of KBe2Cu. Source: Alexandria, functional PBE-GGA.

Results
* energy above the lowest structure with this stoichiometry: 60.0 kJ per mole of atoms
* formation energy from the elements: 0.845 eV/atom
* DOS(E_F): 2.00 states/eV/f.u.
* total magnetic moment: 0.00 μB/f.u.
* DFT total energy: -2.317 eV per atom
* crystal system: trigonal

The structure in CIF format:
```
data_KBe2Cu
_chemical_formula_sum 'K3 Be6 Cu3'
_symmetry_space_group_name_H-M 'R -3 m'
_symmetry_Int_Tables_number 166
_symmetry_space_group_name_Hall '-R 3 2"'
_cell_length_a 2.7011
_cell_length_b 2.7011
_cell_length_c 27.9847
_cell_angle_alpha 90.00
_cell_angle_beta 90.00
_cell_angle_gamma 120.00
loop_
_atom_site_label
_atom_site_type_symbol
_atom_site_fract_x
_atom_site_fract_y
_atom_site_fract_z
K1 K 0.0000 0.0000 0.0000
Be1 Be 0.0000 0.0000 0.2315
Cu1 Cu 0.0000 0.0000 0.5000
```

No. 5
A relaxed structure of Sr3Eu. Source: Alexandria, functional PBE-GGA.

Results
* energy above the lowest structure with this stoichiometry: 0.1 kJ per mole of atoms
* formation energy from the elements: 0.027 eV/atom
* DOS(E_F): 4.53 states/eV/f.u.
* total magnetic moment: 7.67 μB/f.u.
* DFT total energy: -3.803 eV per atom
* crystal system: orthorhombic

The structure in CIF format:
```
data_Sr3Eu
_chemical_formula_sum 'Sr3 Eu1'
_symmetry_space_group_name_H-M 'P m m 2'
_symmetry_Int_Tables_number 25
_symmetry_space_group_name_Hall 'P 2 -2'
_cell_length_a 4.167
_cell_length_b 6.895
_cell_length_c 7.266
_cell_angle_alpha 90.00
_cell_angle_beta 90.00
_cell_angle_gamma 90.00
loop_
_atom_site_label
_atom_site_type_symbol
_atom_site_fract_x
_atom_site_fract_y
_atom_site_fract_z
Sr1 Sr 0.000 0.000 0.000
Sr2 Sr 0.000 0.500 0.334
Sr3 Sr 0.500 0.500 0.828
Eu1 Eu 0.500 0.000 0.501
```

No. 6
A relaxed structure of Ba2SbH. Source: Alexandria, functional PBE-GGA.

Results
* energy above the lowest structure with this stoichiometry: 20.0 kJ per mole of atoms
* DOS(E_F): 0.00 states/eV/f.u.
* total magnetic moment: 0.00 μB/f.u.
* DFT total energy: -3.500 eV per atom
* crystal system: cubic

The structure in CIF format:
```
data_Ba2SbH
_chemical_formula_sum 'Ba8 Sb4 H4'
_symmetry_space_group_name_H-M 'F m -3 m'
_symmetry_Int_Tables_number 225
_symmetry_space_group_name_Hall '-F 4 2 3'
_cell_length_a 8.161
_cell_length_b 8.161
_cell_length_c 8.161
_cell_angle_alpha 90.00
_cell_angle_beta 90.00
_cell_angle_gamma 90.00
loop_
_atom_site_label
_atom_site_type_symbol
_atom_site_fract_x
_atom_site_fract_y
_atom_site_fract_z
Ba1 Ba 0.250 0.250 0.250
Sb1 Sb 0.000 0.000 0.000
H1 H 0.000 0.000 0.500
```